VASP calculation (PBE-GGA) on a geometry-optimized Ag5H6Pb2 structure.

a b c (Å): 5.822 5.822 6.243
angles (deg): 90.00 90.00 120.00
Sites, in units of the cell vectors:
1 Ag 0.000 0.000 0.246
2 Ag 0.000 0.000 0.754
3 Ag 0.000 0.500 0.000
4 Ag 0.500 0.000 0.000
5 Ag 0.500 0.500 0.000
6 H 0.000 0.316 0.231
7 H 0.000 0.684 0.769
8 H 0.316 0.000 0.231
9 H 0.316 0.316 0.769
10 H 0.684 0.000 0.769
11 H 0.684 0.684 0.231
12 Pb 0.333 0.667 0.500
13 Pb 0.667 0.333 0.500

VASP calculation (PBE-GGA) on a geometry-optimized AgH6PbW structure.

a b c (Å): 4.936 4.936 4.936
angles (deg): 60.00 60.00 60.00
Sites, in units of the cell vectors:
1 Ag 0.000 0.000 0.000
2 H 0.276 0.276 0.724
3 H 0.276 0.724 0.276
4 H 0.276 0.724 0.724
5 H 0.724 0.276 0.276
6 H 0.724 0.276 0.724
7 H 0.724 0.724 0.276
8 Pb 0.250 0.250 0.250
9 W 0.750 0.750 0.750

VASP calculation (PBE-GGA) on a geometry-optimized Ag2H6Pd structure.

a b c (Å): 4.799 4.799 4.799
angles (deg): 60.00 60.00 60.00
Sites, in units of the cell vectors:
1 Ag 0.250 0.250 0.250
2 Ag 0.750 0.750 0.750
3 H 0.245 0.245 0.755
4 H 0.245 0.755 0.245
5 H 0.245 0.755 0.755
6 H 0.755 0.245 0.245
7 H 0.755 0.245 0.755
8 H 0.755 0.755 0.245
9 Pd 0.000 0.000 0.000

VASP calculation (PBE-GGA) on a geometry-optimized AgH6PdW structure.

a b c (Å): 4.588 4.588 4.588
angles (deg): 60.00 60.00 60.00
Sites, in units of the cell vectors:
1 Ag 0.000 0.000 0.000
2 H 0.030 0.030 0.470
3 H 0.030 0.470 0.030
4 H 0.030 0.470 0.470
5 H 0.470 0.030 0.030
6 H 0.470 0.030 0.470
7 H 0.470 0.470 0.030
8 Pd 0.750 0.750 0.750
9 W 0.500 0.500 0.500

Calculated energy (Ha/atom), listed in the same order as above: -0.105 -0.128 -0.117 -0.146